Entry 1:
Compound: Na3Ho2PuO6
Source: Alexandria
Functional: GGA-PBE
Structure: relaxed

```
Na3Ho2PuO6
1.0
5.977 -0.001 0.001
-2.988 5.176 0.001
-0.996 -1.725 5.594
Na Ho Pu O
3 2 1 6
Cartesian
-1.969 3.437 2.797 Na
3.961 0.013 2.797 Na
0.996 1.725 2.797 Na
0.001 3.450 0.001 Ho
2.987 1.725 0.001 Ho
0.000 0.000 0.000 Pu
3.011 1.685 4.410 O
1.969 3.409 1.190 O
-1.019 1.765 1.185 O
-0.046 3.450 4.410 O
0.023 0.041 4.404 O
2.038 -0.001 1.185 O
```

For the total magnetic moment, the calculation gives 5.000 μB/f.u. As for the final energy: -7.417 eV per atom. The density of states at the Fermi level is 6.5 states/eV/f.u.



Entry 2:
Compound: NaHoPu2O8
Source: Alexandria
Functional: GGA-PBE
Structure: relaxed

```
NaHoPu2O8
1.0
5.316 0.000 0.000
0.000 5.316 0.000
-2.658 -2.658 5.189
Na Ho Pu O
1 1 2 8
Cartesian
2.658 0.000 2.595 Na
0.000 0.000 0.000 Ho
2.658 2.658 0.000 Pu
0.000 2.658 2.595 Pu
4.017 3.865 1.277 O
1.299 1.451 1.277 O
1.207 1.359 3.910 O
-1.207 -1.359 3.910 O
4.017 1.451 1.279 O
1.299 3.865 1.279 O
-1.207 1.359 3.912 O
1.207 -1.359 3.912 O
```

For the total magnetic moment, the calculation gives 4.000 μB/f.u. As for the final energy: -8.753 eV per atom. The density of states at the Fermi level is 9.8 states/eV/f.u.



Entry 3:
Compound: NaHoPuO6
Source: Alexandria
Functional: GGA-PBE
Structure: relaxed

```
NaHoPuO6
1.0
4.834 0.000 0.000
0.000 5.546 0.000
0.000 -2.773 4.803
Na Ho Pu O
1 1 1 6
Cartesian
2.417 2.773 1.601 Na
0.000 0.000 3.202 Ho
2.417 0.000 0.000 Pu
3.536 1.871 3.438 O
3.536 -1.140 4.704 O
3.536 -0.731 1.463 O
1.298 0.731 1.463 O
1.298 1.140 4.704 O
1.298 -1.871 3.438 O
```

For the total magnetic moment, the calculation gives 0.073 μB/f.u. As for the final energy: -7.921 eV per atom. The density of states at the Fermi level is 2.8 states/eV/f.u.